The following is a PBE+U calculation of BaAgMoO4 after structural relaxation, from the Alexandria database.

Results
M_tot, μB/f.u.: 0.0
Space-group type: F-43m (216)
Energy, eV per atom: -5.727

a b c (Å): 6.5751 6.5751 6.5751
angles (deg): 60.00 60.00 60.00
Sites, in units of the cell vectors:
Ba 0.0000 0.0000 0.0000
Ag 0.2500 0.2500 0.2500
Mo 0.5000 0.5000 0.5000
O 0.3884 0.3884 0.3884
O 0.3884 0.3884 0.8347
O 0.3884 0.8347 0.3884
O 0.8347 0.3884 0.3884